[1]
DFT (GGA-PBE) results for a relaxed structure of SrZnSnF6.

Unit cell a=5.8735 b=5.8735 c=5.0728 alpha=90.00 beta=90.00 gamma=120.00
With the nearest neighbours (Å) after each atom.
Fractional coordinates of all 9 atoms:
Sr: 0.0000 0.0000 0.0000  6 F 2.42
Zn: 0.3333 0.6667 0.0000  6 F 2.09
Sn: 0.6667 0.3333 0.5000  6 F 2.45
F: 0.0307 0.3765 0.2277  1 Zn 2.09
F: 0.0307 0.6542 0.7723  1 Zn 2.09
F: 0.3458 0.3765 0.7723  1 Zn 2.09
F: 0.3458 0.9693 0.2277  1 Zn 2.09
F: 0.6235 0.6542 0.2277  1 Zn 2.09
F: 0.6235 0.9693 0.7723  1 Zn 2.09

Values from the calculation:
The total energy comes out at -43.07 eV per cell.

[2]
DFT (GGA-PBE) results for a relaxed structure of TaSn2F.

Unit cell a=5.9143 b=5.9143 c=5.9143 alpha=107.54 beta=107.54 gamma=113.40
With the nearest neighbours (Å) after each atom.
Fractional coordinates of all 8 atoms:
Ta: 0.0000 0.0000 0.0000  4 Sn 2.89
Ta: 0.7500 0.2500 0.5000  4 Sn 2.89
Sn: 0.1839 0.6250 0.0589  2 F 2.34
Sn: 0.3750 0.4339 0.5589  2 F 2.34
Sn: 0.5661 0.1250 0.9411  2 F 2.34
Sn: 0.8750 0.8161 0.4411  2 F 2.34
F: 0.2500 0.7500 0.5000  4 Sn 2.34
F: 0.5000 0.5000 0.0000  4 Sn 2.34

Values from the calculation:
The total energy comes out at -44.41 eV per cell. For the energy above the lowest structure with this stoichiometry, the calculation gives 0 meV/atom.

[3]
DFT (GGA-PBE) results for a relaxed structure of TaSn2F.

Unit cell a=4.8454 b=4.8454 c=4.8454 alpha=60.00 beta=60.00 gamma=60.00
With the nearest neighbours (Å) after each atom.
Fractional coordinates of all 4 atoms:
Ta: 0.0000 0.0000 0.0000  8 Sn 2.97
Sn: 0.2500 0.2500 0.2500  4 Ta 2.97, 4 F 2.97
Sn: 0.7500 0.7500 0.7500  4 Ta 2.97, 4 F 2.97
F: 0.5000 0.5000 0.5000  8 Sn 2.97

Values from the calculation:
The total energy comes out at -21.79 eV per cell. For the energy above the lowest structure with this stoichiometry, the calculation gives 103 meV/atom.

[4]
DFT (GGA-PBE) results for a relaxed structure of TaZnSn2F.

Unit cell a=5.1404 b=5.1404 c=4.0627 alpha=90.00 beta=90.00 gamma=90.00
With the nearest neighbours (Å) after each atom.
Fractional coordinates of all 5 atoms:
Ta: 0.0000 0.0000 0.0000  2 F 2.03
Zn: 0.5000 0.5000 0.0000  8 Sn 3.28, 4 Ta 3.63
Sn: 0.0000 0.5000 0.5000  2 F 2.57
Sn: 0.5000 0.0000 0.5000  2 F 2.57
F: 0.0000 0.0000 0.5000  2 Ta 2.03

Values from the calculation:
The total energy comes out at -22.20 eV per cell. For the energy above the lowest structure with this stoichiometry, the calculation gives 0 meV/atom.

Respective V values: 151.6 158.7 80.4 107.4 Å³ per cell.
Respective total magnetic moment values: 0.00 0.00 0.19 0.09 μB/atom.
Respective energy relative to the elements, uncorrected values: -2765 -118 -16 162 meV per atom.